DFT (GGA-PBE) results for a relaxed Tl2CuW crystal.

Summary:
Total DFT energy (no corrections) ... -4.803 eV per atom
Energy above the lowest structure with this stoichiometry ... 0.00 eV/f.u.
Space-group type ... P4mm

The structure in POSCAR format:
```
Tl2CuW
1.0
2.9525 0.0000 0.0000
0.0000 2.9525 0.0000
0.0000 0.0000 9.8677
Tl Cu W
2 1 1
Direct
0.0000 0.0000 0.0000
0.5000 0.5000 0.3487
0.5000 0.5000 0.7603
0.0000 0.0000 0.5987
```